Computed, not measured: a relaxed structure of MnAl2Ni3 at the GGA-PBE level of DFT.

Spin magnetization (μB/atom): 0.652
N(E_F) (states/eV/atom): 0.5719
Formation enthalpy at 0 K (eV/atom): -0.482

Structure (extended XYZ):
```
6
Lattice="4.0835 0.0000 0.0000 -2.0417 3.5364 0.0000 0.0000 0.0000 5.0237" Properties=species:S:1:pos:R:3 pbc="T T T"
Ni 0.0000 0.0000 2.5119
Ni 2.0417 1.1788 4.1463
Ni 0.0000 2.3576 0.8774
Mn 0.0000 0.0000 0.0000
Al 2.0417 1.1788 1.6297
Al 0.0000 2.3576 3.3940
```